The following is a DFT calculation (PBE with a Hubbard U) of CrNiPO5 after structural relaxation.

Properties
* electronic total energy: -6.95 eV/atom
* magnetization: 5.00 μB per formula unit
* D(E_F): 0.000 states/eV/atom

a b c (Å): 7.598 7.625 7.188
angles (deg): 90.00 121.53 90.00
Space group C2/c (No. 15)
Symmetry-distinct sites (fractional):
Cr (0.250, 0.250, 0.000) [4 per cell]
Ni (0.000, 0.000, 0.000) [4 per cell]
P (0.000, 0.379, 0.250) [4 per cell]
O (0.000, 0.134, 0.750) [4 per cell]
O (0.063, 0.256, 0.123) [8 per cell]
O (0.188, 0.498, 0.396) [8 per cell]